Compound: TbY6Tm2Th
Source: Alexandria via LeMat-Bulk
Functional: PBE-GGA
Structure: optimized geometry

The structure in POSCAR format:
```
TbY6Tm2Th
1.0
-2.4907 -6.1107 6.5325
-5.3596 -3.6480 -6.0038
8.3742 -2.8197 0.0076
Tb Y Tm Th
2 12 4 2
direct
0.2500 0.4148 0.5852 Tb
0.7500 0.5852 0.4148 Tb
0.0586 0.1175 0.7701 Y
0.4414 0.2299 0.8825 Y
0.9414 0.8825 0.2299 Y
0.5586 0.7701 0.1175 Y
0.3138 0.9935 0.4344 Y
0.1862 0.5656 0.0065 Y
0.6862 0.0065 0.5656 Y
0.8138 0.4344 0.9935 Y
0.1079 0.7118 0.4800 Y
0.3921 0.5200 0.2882 Y
0.8921 0.2882 0.5200 Y
0.6079 0.4800 0.7118 Y
0.4437 0.7991 0.6955 Tm
0.0563 0.3045 0.2009 Tm
0.5563 0.2009 0.3045 Tm
0.9437 0.6955 0.7991 Tm
0.2500 0.9657 0.0343 Th
0.7500 0.0343 0.9657 Th
```

Values from the calculation:
D(E_F) (states/eV/cell): 30.9
Total moment (μB/f.u.): 0.00
Formation enthalpy at 0 K (kJ per mole of atoms): 14.3

Compound: Tb6YTm2Th3
Source: Alexandria via LeMat-Bulk
Functional: PBE-GGA
Structure: optimized geometry

The structure in POSCAR format:
```
Tb6YTm2Th3
1.0
-1.8765 -3.2503 -4.8975
6.0268 0.8711 0.9953
-1.0228 -8.9082 7.6020
Tb Y Tm Th
6 1 2 3
direct
0.9158 0.5816 0.7472 Tb
0.7500 0.7500 0.2528 Tb
0.0842 0.4184 0.2528 Tb
0.5816 0.9158 0.7472 Tb
0.2500 0.2500 0.7472 Tb
0.4184 0.0842 0.2528 Tb
0.0000 0.0000 0.0000 Y
0.3333 0.6667 0.0000 Tm
0.6667 0.3333 0.0000 Tm
0.1666 0.8334 0.5000 Th
0.8334 0.1666 0.5000 Th
0.5000 0.5000 0.5000 Th
```

Values from the calculation:
D(E_F) (states/eV/cell): 18.7
Total moment (μB/f.u.): 0.00
Formation enthalpy at 0 K (kJ per mole of atoms): 2.6

Compound: Tb3YTmTh
Source: Alexandria via LeMat-Bulk
Functional: PBE-GGA
Structure: optimized geometry

The structure in POSCAR format:
```
Tb3YTmTh
1.0
5.0404 0.0000 0.0000
0.0000 7.8506 -1.1896
0.0000 -3.2691 10.1556
Tb Y Tm Th
6 2 2 2
direct
0.7500 0.8686 0.0441 Tb
0.2500 0.1314 0.9559 Tb
0.2500 0.6272 0.4572 Tb
0.7500 0.3728 0.5428 Tb
0.7500 0.3832 0.2076 Tb
0.2500 0.6168 0.7924 Tb
0.2500 0.1241 0.2925 Y
0.7500 0.8759 0.7075 Y
0.2500 0.1272 0.6275 Tm
0.7500 0.8728 0.3725 Tm
0.2500 0.6218 0.1226 Th
0.7500 0.3782 0.8774 Th
```

Values from the calculation:
D(E_F) (states/eV/cell): 17.6
Total moment (μB/f.u.): 0.00
Formation enthalpy at 0 K (kJ per mole of atoms): 2.5

Compound: TbYTmTh
Source: Alexandria via LeMat-Bulk
Functional: PBE-GGA
Structure: optimized geometry

The structure in POSCAR format:
```
TbYTmTh
1.0
5.6599 0.0000 0.0000
2.8300 4.9016 0.0000
2.8300 1.6339 4.6213
Y Tm Tb Th
1 1 1 1
direct
0.5000 0.5000 0.5000 Y
0.7500 0.7500 0.7500 Tm
0.2500 0.2500 0.2500 Tb
0.0000 0.0000 0.0000 Th
```

Values from the calculation:
D(E_F) (states/eV/cell): 8.2
Total moment (μB/f.u.): 0.00
Formation enthalpy at 0 K (kJ per mole of atoms): 14.4
E above lowest polymorph (meV/atom): 146

Compound: Tb6Y2TmTh
Source: Alexandria via LeMat-Bulk
Functional: PBE-GGA
Structure: optimized geometry

The structure in POSCAR format:
```
Tb6Y2TmTh
1.0
-0.6941 5.9379 -6.7857
-6.7078 -4.8549 -3.3605
-2.2701 6.2848 5.9335
Tb Y Tm Th
12 4 2 2
direct
0.0619 0.1267 0.7798 Tb
0.4381 0.2202 0.8733 Tb
0.9381 0.8733 0.2202 Tb
0.5619 0.7798 0.1267 Tb
0.3010 0.0009 0.4327 Tb
0.1990 0.5673 0.9991 Tb
0.6990 0.9991 0.5673 Tb
0.8010 0.4327 0.0009 Tb
0.1015 0.7219 0.4780 Tb
0.3985 0.5220 0.2781 Tb
0.8985 0.2781 0.5220 Tb
0.6015 0.4780 0.7219 Tb
0.4400 0.7948 0.6846 Y
0.0600 0.3154 0.2052 Y
0.5600 0.2052 0.3154 Y
0.9400 0.6846 0.7948 Y
0.2500 0.4202 0.5798 Tm
0.7500 0.5798 0.4202 Tm
0.2500 0.9647 0.0353 Th
0.7500 0.0353 0.9647 Th
```

Values from the calculation:
D(E_F) (states/eV/cell): 29.4
Total moment (μB/f.u.): 0.00
Formation enthalpy at 0 K (kJ per mole of atoms): 14.7

Compound: TbYTmTh
Source: Alexandria via LeMat-Bulk
Functional: PBE-GGA
Structure: optimized geometry

The structure in POSCAR format:
```
TbYTmTh
1.0
3.5848 -0.0009 -0.0011
-1.7924 3.1056 0.0034
-1.7884 -1.0452 11.3988
Tb Y Tm Th
1 1 1 1
direct
0.4721 0.1338 0.6214 Tb
0.9686 0.3823 0.3664 Y
0.1341 0.9652 0.1138 Tm
0.3031 0.5495 0.8680 Th
```

Values from the calculation:
D(E_F) (states/eV/cell): 5.9
Total moment (μB/f.u.): 0.38
Formation enthalpy at 0 K (kJ per mole of atoms): 0.3
E above lowest polymorph (meV/atom): 0

Compound: Tb2Y6TmTh
Source: Alexandria via LeMat-Bulk
Functional: PBE-GGA
Structure: optimized geometry

The structure in POSCAR format:
```
Tb2Y6TmTh
1.0
9.0087 -1.9517 -2.0255
0.8985 8.5431 -1.9375
0.8985 -2.2528 8.4654
Tb Y Tm Th
4 12 2 2
direct
0.4457 0.7988 0.6981 Tb
0.0543 0.3019 0.2012 Tb
0.5543 0.2012 0.3019 Tb
0.9457 0.6981 0.7988 Tb
0.0583 0.1210 0.7638 Y
0.4417 0.2362 0.8790 Y
0.9417 0.8790 0.2362 Y
0.5583 0.7638 0.1210 Y
0.3136 0.9895 0.4304 Y
0.1864 0.5696 0.0105 Y
0.6864 0.0105 0.5696 Y
0.8136 0.4304 0.9895 Y
0.1113 0.7094 0.4851 Y
0.3887 0.5149 0.2906 Y
0.8887 0.2906 0.5149 Y
0.6113 0.4851 0.7094 Y
0.2500 0.4113 0.5887 Tm
0.7500 0.5887 0.4113 Tm
0.2500 0.9690 0.0310 Th
0.7500 0.0310 0.9690 Th
```

Values from the calculation:
D(E_F) (states/eV/cell): 29.5
Total moment (μB/f.u.): 0.00
Formation enthalpy at 0 K (kJ per mole of atoms): 14.4

Compound: TbY2TmTh
Source: Alexandria via LeMat-Bulk
Functional: PBE-GGA
Structure: optimized geometry

The structure in POSCAR format:
```
TbY2TmTh
1.0
6.3237 0.0000 0.0000
0.0000 8.4963 1.0828
0.0000 -1.4366 6.1097
Tb Y Tm Th
2 4 2 2
direct
0.0000 0.0000 0.0000 Tb
0.0000 0.0000 0.5000 Tb
0.6985 0.6871 0.7810 Y
0.6985 0.3129 0.7190 Y
0.3015 0.6871 0.2810 Y
0.3015 0.3129 0.2190 Y
0.1813 0.5000 0.7500 Tm
0.8187 0.5000 0.2500 Tm
0.5520 0.0000 0.2500 Th
0.4480 0.0000 0.7500 Th
```

Values from the calculation:
D(E_F) (states/eV/cell): 12.6
Total moment (μB/f.u.): 0.00
Formation enthalpy at 0 K (kJ per mole of atoms): 32.9

Q: Which value of total moment does entry 3 give?
A: 0.00 μB/f.u.

Q: Which formula does entry 1 have?
A: TbY6Tm2Th